[1]
This record from Alexandria via LeMat-Bulk describes a geometry-optimized Mg5InPb structure. The functional is GGA-PBE.

Summary:
- energy above the most stable polymorph in this dataset (meV/atom) = 50
- crystal system = monoclinic
- density of states at the Fermi level (states/eV per atom) = 0.36
- total moment (μB per atom) = 0.0000

a b c (Å): 8.5996 8.3951 9.9722
angles (deg): 90.00 94.86 90.00
Space group C2/c (No. 15)
Inequivalent atoms, fractional coordinates:
Mg 0.0000 0.1819 0.2500 (multiplicity 4)
Mg 0.1485 0.3929 0.5058 (multiplicity 8)
Mg 0.1845 0.1593 0.7794 (multiplicity 8)
In 0.0000 0.4709 0.7500 (multiplicity 4)
Pb 0.0000 0.0000 0.0000 (multiplicity 4)

***

[2]
This record from Alexandria via LeMat-Bulk describes a geometry-optimized MgIn4Pb5 structure. The functional is GGA-PBE.

Summary:
- crystal system = tetragonal
- density of states at the Fermi level (states/eV per atom) = 0.49
- total moment (μB per atom) = 0.0000

a b c (Å): 3.9477 3.9477 18.4979
angles (deg): 90.00 90.00 90.00
Space group P4/mmm (No. 123)
Inequivalent atoms, fractional coordinates:
Mg 0.0000 0.0000 0.0000 (multiplicity 1)
In 0.0000 0.0000 0.1924 (multiplicity 2)
In 0.0000 0.0000 0.3985 (multiplicity 2)
Pb 0.5000 0.5000 0.0923 (multiplicity 2)
Pb 0.5000 0.5000 0.2967 (multiplicity 2)
Pb 0.5000 0.5000 0.5000 (multiplicity 1)

***

| no. | volume (Å³ per atom) | density (g cm⁻³) | formation enthalpy at 0 K (eV/atom) |
| --- | --- | --- | --- |
| 1 | 25.620 | 4.107 | 0.02 |
| 2 | 28.828 | 8.753 | 0.03 |